Computed, not measured: a geometry-optimized Tl2VCuS4 structure at the PBE level of DFT.

a = 5.394 Å, b = 13.159 Å, c = 23.084 Å
α = 90.00°, β = 90.00°, γ = 90.00°
Space group Fddd (No. 70, origin choice 2)
Unique sites:
Tl  0.125  0.125  0.309
V  0.125  0.125  0.625
Cu  0.125  0.125  0.125
S  0.107  0.278  0.821

Output
Uncorrected energy, Ry per atom: -0.3603

***

Computed, not measured: a geometry-optimized Pr4CS2Cl structure at the PBE level of DFT.

a = 6.925 Å, b = 3.983 Å, c = 7.217 Å
α = 90.00°, β = 108.47°, γ = 90.00°
Space group P2/m (No. 10)
Unique sites:
Pr  0.224  0.000  0.214
Pr  0.244  0.500  0.783
C  0.000  0.500  0.000
S  0.500  0.000  0.000
S  0.500  0.500  0.500
Cl  0.000  0.000  0.500

Output
Uncorrected energy, Ry per atom: -0.4591

***

Computed, not measured: a geometry-optimized TbPrNiPd structure at the PBE level of DFT.

a = 7.072 Å, b = 7.072 Å, c = 7.072 Å
α = 90.00°, β = 90.00°, γ = 90.00°
Space group F-43m (No. 216)
Unique sites:
Tb  0.000  0.000  0.000
Pr  0.000  0.000  0.500
Ni  0.250  0.250  0.250
Pd  0.250  0.250  0.750

Output
Offset from the most stable computed form, eV per atom: 0.076
Formation energy, eV per formula unit: -2.02

***

Computed, not measured: a geometry-optimized Mg2FeP structure at the PBE level of DFT.

a = 3.547 Å, b = 3.849 Å, c = 9.730 Å
α = 90.00°, β = 90.00°, γ = 90.00°
Space group Amm2 (No. 38)
Unique sites:
Mg  0.000  0.000  0.000
Mg  0.500  0.000  0.302
Fe  0.500  0.000  0.590
P  0.000  0.000  0.717

Output
Formation energy, eV per formula unit: -0.84

***

Computed, not measured: a geometry-optimized LaBeNiPt2 structure at the PBE level of DFT.

a = 4.469 Å, b = 4.469 Å, c = 4.245 Å
α = 90.00°, β = 90.00°, γ = 90.00°
Space group P4/mmm (No. 123)
Unique sites:
La  0.000  0.000  0.000
Be  0.500  0.500  0.500
Ni  0.500  0.500  0.000
Pt  0.000  0.500  0.500

Output
Formation energy, eV per formula unit: -3.17

***

Computed, not measured: a geometry-optimized Np2Zn16Si structure at the PBE level of DFT.

a = 9.0527 Å, b = 9.0527 Å, c = 13.0148 Å
α = 90.00°, β = 90.00°, γ = 120.00°
Space group R3m (No. 160, hexagonal axes)
Unique sites:
Np  0.0000  0.0000  0.0000
Np  0.0000  0.0000  0.3369
Zn  0.0000  0.0000  0.7580
Zn  0.0000  0.3046  0.6670
Zn  0.0118  0.5059  0.8212
Zn  0.1703  0.3407  0.5008
Zn  0.1716  0.3431  0.8457
Si  0.0000  0.0000  0.5611

Output
Uncorrected energy, Ry per atom: -0.2027

***

Computed, not measured: a geometry-optimized AcPr4Dy structure at the PBE level of DFT.

a = 3.620 Å, b = 5.826 Å, c = 10.457 Å
α = 90.00°, β = 90.19°, γ = 90.00°
Space group Pm (No. 6)
Unique sites:
Ac  0.000  0.000  0.000
Pr  0.001  0.000  0.666
Pr  0.498  0.000  0.346
Pr  0.500  0.500  0.819
Pr  0.999  0.500  0.182
Dy  0.996  0.500  0.504

Output
Offset from the most stable computed form, eV per atom: 0.000
Formation energy, eV per formula unit: 0.41

***

Computed, not measured: a geometry-optimized PmGdSiIr structure at the PBE level of DFT.

a = 7.096 Å, b = 7.096 Å, c = 7.096 Å
α = 90.00°, β = 90.00°, γ = 90.00°
Space group F-43m (No. 216)
Unique sites:
Pm  0.000  0.000  0.000
Gd  0.000  0.000  0.500
Si  0.250  0.250  0.750
Ir  0.250  0.250  0.250

Output
Uncorrected energy, Ry per atom: -0.6471

***

Computed, not measured: a geometry-optimized Ca3Mg2Zn structure at the PBE level of DFT.

a = 5.4920 Å, b = 5.4920 Å, c = 13.1979 Å
α = 90.00°, β = 90.00°, γ = 120.00°
Space group P6_3/mmc (No. 194)
Unique sites:
Ca  0.0000  0.0000  0.0000
Ca  0.3333  0.6667  0.1221
Mg  0.3333  0.6667  0.6391
Zn  0.0000  0.0000  0.2500

Output
Offset from the most stable computed form, eV per atom: 0.139
Formation energy, eV per formula unit: 0.06

***

Computed, not measured: a geometry-optimized Ni2AsIr structure at the PBE level of DFT.

a = 5.030 Å, b = 7.306 Å, c = 2.839 Å
α = 90.00°, β = 90.00°, γ = 90.00°
Space group Cmmm (No. 65)
Unique sites:
Ni  0.250  0.250  0.000
As  0.000  0.000  0.500
Ir  0.000  0.500  0.500

Output
Formation energy, eV per formula unit: -0.04

***

Computed, not measured: a geometry-optimized CsTeF3 structure at the PBE level of DFT.

a = 4.955 Å, b = 4.955 Å, c = 4.955 Å
α = 90.00°, β = 90.00°, γ = 90.00°
Space group Pm-3m (No. 221)
Unique sites:
Cs  0.000  0.000  0.000
Te  0.500  0.500  0.500
F  0.000  0.000  0.500

Output
Offset from the most stable computed form, eV per atom: 1.268

***

Computed, not measured: a geometry-optimized Er3Mg2Hg2 structure at the PBE level of DFT.

a = 4.568 Å, b = 22.906 Å, c = 3.379 Å
α = 90.00°, β = 90.00°, γ = 90.00°
Space group Cmmm (No. 65)
Unique sites:
Er  0.000  0.000  0.000
Er  0.000  0.145  0.000
Mg  0.000  0.285  0.500
Hg  0.000  0.422  0.500

Output
Formation energy, eV per formula unit: -1.34

***

no.,calculated volume (Å³/atom)
1,25.60
2,23.60
3,22.10
4,16.61
5,16.96
6,16.21
7,36.76
8,22.33
9,28.73
10,13.04
11,24.33
12,25.25